1.
The following is a DFT calculation (PBE-GGA) of crystalline CePr12In6 at its relaxed geometry.

## Properties
DFT total energy in eV/atom: -4.4201
Crystal system: trigonal
Energy of formation from the pure elements in meV per atom: -224

a = 8.4573 Å, b = 8.4573 Å, c = 8.4573 Å
α = 89.84°, β = 89.84°, γ = 89.84°
Sites, in units of the cell vectors:
Ce (0.0000, 0.0000, 0.0000)
Pr (0.8078, 0.5315, 0.4342)
Pr (0.4342, 0.8078, 0.5315)
Pr (0.5315, 0.4342, 0.8078)
Pr (0.1922, 0.4685, 0.5658)
Pr (0.5658, 0.1922, 0.4685)
Pr (0.4685, 0.5658, 0.1922)
Pr (0.0705, 0.1211, 0.3798)
Pr (0.8789, 0.6202, 0.9295)
Pr (0.6202, 0.9295, 0.8789)
Pr (0.9295, 0.8789, 0.6202)
Pr (0.1211, 0.3798, 0.0705)
Pr (0.3798, 0.0705, 0.1211)
In (0.7262, 0.8783, 0.2591)
In (0.7409, 0.2738, 0.1217)
In (0.1217, 0.7409, 0.2738)
In (0.2738, 0.1217, 0.7409)
In (0.2591, 0.7262, 0.8783)
In (0.8783, 0.2591, 0.7262)

***

2.
The following is a DFT calculation (PBE-GGA) of crystalline CePr5In5 at its relaxed geometry.

## Properties
DFT total energy in eV/atom: -4.1648
Crystal system: monoclinic
Energy of formation from the pure elements in meV per atom: -208

a = 6.0092 Å, b = 9.7313 Å, c = 6.6510 Å
α = 109.66°, β = 90.00°, γ = 107.98°
Sites, in units of the cell vectors:
Ce (0.0000, 0.0000, 0.0000)
Pr (0.6854, 0.3708, 0.1886)
Pr (0.6285, 0.2570, 0.6331)
Pr (0.0000, 0.0000, 0.5000)
Pr (0.3715, 0.7430, 0.3669)
Pr (0.3146, 0.6292, 0.8114)
In (0.8353, 0.6707, 0.0659)
In (0.8356, 0.6712, 0.6045)
In (0.5000, 0.0000, 0.0000)
In (0.1644, 0.3288, 0.3955)
In (0.1647, 0.3293, 0.9341)

***

3.
The following is a DFT calculation (PBE-GGA) of crystalline CePr2In3 at its relaxed geometry.

## Properties
DFT total energy in eV/atom: -4.1496
Crystal system: orthorhombic
Energy of formation from the pure elements in meV per atom: -198
Energy relative to the lowest polymorph listed for this composition in meV/atom: 232

a = 5.6540 Å, b = 8.3249 Å, c = 8.3249 Å
α = 105.82°, β = 90.00°, γ = 90.00°
Sites, in units of the cell vectors:
Ce (0.2500, 0.9296, 0.9296)
Ce (0.7500, 0.0704, 0.0704)
Pr (0.7500, 0.5832, 0.8459)
Pr (0.2500, 0.1541, 0.4168)
Pr (0.2500, 0.4168, 0.1541)
Pr (0.7500, 0.8459, 0.5832)
In (0.0000, 0.2170, 0.7830)
In (0.5000, 0.2170, 0.7830)
In (0.2500, 0.5942, 0.5942)
In (0.7500, 0.4058, 0.4058)
In (0.5000, 0.7830, 0.2170)
In (0.0000, 0.7830, 0.2170)

***

4.
The following is a DFT calculation (PBE-GGA) of crystalline CePr2In at its relaxed geometry.

## Properties
DFT total energy in eV/atom: -4.7807
Crystal system: tetragonal
Energy of formation from the pure elements in meV per atom: -223
Energy relative to the lowest polymorph listed for this composition in meV/atom: 0

a = 4.8109 Å, b = 5.0310 Å, c = 5.0310 Å
α = 90.00°, β = 90.00°, γ = 90.00°
Sites, in units of the cell vectors:
Pr (0.0000, 0.0000, 0.5000)
Pr (0.0000, 0.5000, 0.0000)
Ce (0.5000, 0.5000, 0.5000)
In (0.5000, 0.0000, 0.0000)

***

5.
The following is a DFT calculation (PBE-GGA) of crystalline Ce4PrIn at its relaxed geometry.

## Properties
DFT total energy in eV/atom: -5.1218
Crystal system: cubic
Energy of formation from the pure elements in meV per atom: 87

a = 6.2747 Å, b = 6.2747 Å, c = 6.2747 Å
α = 60.00°, β = 60.00°, γ = 60.00°
Sites, in units of the cell vectors:
Pr (0.0000, 0.0000, 0.0000)
Ce (0.6134, 0.6134, 0.1597)
Ce (0.6134, 0.1597, 0.6134)
Ce (0.6134, 0.6134, 0.6134)
Ce (0.1597, 0.6134, 0.6134)
In (0.2500, 0.2500, 0.2500)

***

6.
The following is a DFT calculation (PBE-GGA) of crystalline Ce4PrIn3 at its relaxed geometry.

## Properties
DFT total energy in eV/atom: -4.9095
Crystal system: monoclinic
Energy of formation from the pure elements in meV per atom: -318

a = 3.9242 Å, b = 5.4848 Å, c = 10.4103 Å
α = 98.52°, β = 100.86°, γ = 90.00°
Sites, in units of the cell vectors:
Ce (0.2345, 0.7389, 0.4690)
Ce (0.7655, 0.2611, 0.5310)
Ce (0.6391, 0.6807, 0.2783)
Ce (0.3609, 0.3193, 0.7217)
Pr (0.5000, 0.0000, 0.0000)
In (0.0000, 0.5000, 0.0000)
In (0.1340, 0.1828, 0.2680)
In (0.8660, 0.8172, 0.7320)